Computed, not measured: crystalline LiNpIrPt at its relaxed geometry at the PBE level of DFT.

a = 6.5383 Å, b = 6.5383 Å, c = 6.5383 Å
α = 90.00°, β = 90.00°, γ = 90.00°
With the nearest neighbours (Å) after each atom.
Atoms (fractional coordinates):
Li (0.0000, 0.0000, 0.0000)  4 Ir 2.83, 4 Pt 2.83
Li (0.0000, 0.5000, 0.5000)  4 Ir 2.83, 4 Pt 2.83
Li (0.5000, 0.0000, 0.5000)  4 Ir 2.83, 4 Pt 2.83
Li (0.5000, 0.5000, 0.0000)  4 Ir 2.83, 4 Pt 2.83
Np (0.0000, 0.0000, 0.5000)  4 Ir 2.83, 4 Pt 2.83
Np (0.0000, 0.5000, 0.0000)  4 Ir 2.83, 4 Pt 2.83
Np (0.5000, 0.0000, 0.0000)  4 Ir 2.83, 4 Pt 2.83
Np (0.5000, 0.5000, 0.5000)  4 Ir 2.83, 4 Pt 2.83
Ir (0.2500, 0.2500, 0.7500)  4 Li 2.83, 4 Np 2.83
Ir (0.2500, 0.7500, 0.2500)  4 Li 2.83, 4 Np 2.83
Ir (0.7500, 0.2500, 0.2500)  4 Li 2.83, 4 Np 2.83
Ir (0.7500, 0.7500, 0.7500)  4 Li 2.83, 4 Np 2.83
Pt (0.2500, 0.2500, 0.2500)  4 Li 2.83, 4 Np 2.83
Pt (0.2500, 0.7500, 0.7500)  4 Li 2.83, 4 Np 2.83
Pt (0.7500, 0.2500, 0.7500)  4 Li 2.83, 4 Np 2.83
Pt (0.7500, 0.7500, 0.2500)  4 Li 2.83, 4 Np 2.83

Computed properties:
The volume comes out at 280 Å³/cell. The value obtained for the energy relative to the elements is -1.6 eV/f.u. As for the space group: F-43m, No. 216.

Computed, not measured: crystalline PuTiPt6 at its relaxed geometry at the PBE level of DFT.

a = 4.0472 Å, b = 4.0472 Å, c = 8.1548 Å
α = 90.00°, β = 90.00°, γ = 90.00°
With the nearest neighbours (Å) after each atom.
Atoms (fractional coordinates):
Pu (0.0000, 0.0000, 0.0000)  12 Pt 2.86-2.98
Ti (0.0000, 0.0000, 0.5000)  12 Pt 2.77-2.86
Pt (0.0000, 0.5000, 0.2683)  8 Pt 2.77-2.98, 2 Ti 2.77, 2 Pu 2.98
Pt (0.0000, 0.5000, 0.7317)  8 Pt 2.77-2.98, 2 Ti 2.77, 2 Pu 2.98
Pt (0.5000, 0.0000, 0.2683)  8 Pt 2.77-2.98, 2 Ti 2.77, 2 Pu 2.98
Pt (0.5000, 0.0000, 0.7317)  8 Pt 2.77-2.98, 2 Ti 2.77, 2 Pu 2.98
Pt (0.5000, 0.5000, 0.0000)  4 Pu 2.86, 8 Pt 2.98
Pt (0.5000, 0.5000, 0.5000)  8 Pt 2.77, 4 Ti 2.86

Computed properties:
The volume comes out at 134 Å³/cell. The value obtained for the energy relative to the elements is -6.1 eV/f.u. As for the space group: P4/mmm, No. 123.

Computed, not measured: crystalline BaPtW at its relaxed geometry at the PBE level of DFT.

a = 4.5538 Å, b = 4.5614 Å, c = 7.8968 Å
α = 88.59°, β = 88.65°, γ = 83.15°
With the nearest neighbours (Å) after each atom.
Atoms (fractional coordinates):
Ba (0.2462, 0.2461, 0.3486)  3 Pt 3.39-3.53, 4 W 3.46-3.70
Ba (0.7538, 0.7539, 0.6514)  3 Pt 3.39-3.53, 4 W 3.46-3.70
Pt (0.2155, 0.2145, 0.8427)  4 W 2.56-2.68
Pt (0.7845, 0.7855, 0.1573)  4 W 2.56-2.68
W (0.2859, 0.7136, 0.9999)  4 Pt 2.56-2.68, 1 W 2.59
W (0.7141, 0.2864, 0.0001)  4 Pt 2.56-2.68, 1 W 2.59

Computed properties:
The volume comes out at 163 Å³/cell. The value obtained for the energy relative to the elements is 0.2 eV/f.u. As for the space group: P-1, No. 2.

Computed, not measured: crystalline BaPu4S8 at its relaxed geometry at the PBE level of DFT.

a = 8.7935 Å, b = 8.7935 Å, c = 8.7935 Å
α = 54.69°, β = 54.69°, γ = 54.69°
With the nearest neighbours (Å) after each atom.
Atoms (fractional coordinates):
Ba (0.0000, 0.0000, 0.0000)  6 S 3.23
Pu (0.0000, 0.0000, 0.5000)  6 S 2.69-2.72
Pu (0.0000, 0.5000, 0.0000)  6 S 2.69-2.72
Pu (0.5000, 0.0000, 0.0000)  6 S 2.69-2.72
Pu (0.5000, 0.5000, 0.5000)  6 S 2.78
S (0.2239, 0.7345, 0.7345)  3 Pu 2.72-2.78
S (0.2270, 0.2270, 0.2270)  3 Pu 2.69
S (0.2655, 0.2655, 0.7761)  3 Pu 2.72-2.78
S (0.2655, 0.7761, 0.2655)  3 Pu 2.72-2.78
S (0.7345, 0.2239, 0.7345)  3 Pu 2.72-2.78
S (0.7345, 0.7345, 0.2239)  3 Pu 2.72-2.78
S (0.7730, 0.7730, 0.7730)  3 Pu 2.69
S (0.7761, 0.2655, 0.2655)  3 Pu 2.72-2.78

Computed properties:
The volume comes out at 421 Å³/cell. For the formation energy without anion corrections, the calculation gives -1.59 eV/atom. As for the space group: R-3m, No. 166.

Computed, not measured: crystalline KYRu at its relaxed geometry at the PBE level of DFT.

a = 4.4999 Å, b = 4.4999 Å, c = 5.7399 Å
α = 90.00°, β = 90.00°, γ = 120.00°
With the nearest neighbours (Å) after each atom.
Atoms (fractional coordinates):
K (0.0000, 0.0000, 0.0000)  6 Ru 3.87, 6 Y 3.87
Y (0.6667, 0.3333, 0.5000)  3 Ru 2.60
Ru (0.3333, 0.6667, 0.5000)  3 Y 2.60

Computed properties:
The volume comes out at 101 Å³/cell. The value obtained for the energy relative to the elements is 2.1 eV/f.u. As for the space group: P-6m2, No. 187.

Computed, not measured: crystalline KCr3Ir at its relaxed geometry at the PBE level of DFT.

a = 4.1358 Å, b = 4.1358 Å, c = 4.1358 Å
α = 90.00°, β = 90.00°, γ = 90.00°
With the nearest neighbours (Å) after each atom.
Atoms (fractional coordinates):
K (0.0000, 0.0000, 0.0000)  6 Cr 2.07
Cr (0.0000, 0.0000, 0.5000)  2 K 2.07
Cr (0.0000, 0.5000, 0.0000)  2 K 2.07
Cr (0.5000, 0.0000, 0.0000)  2 K 2.07
Ir (0.5000, 0.5000, 0.5000)  12 Cr 2.92

Computed properties:
The volume comes out at 71 Å³/cell. The value obtained for the energy relative to the elements is 13.7 eV/f.u. As for the space group: Pm-3m, No. 221.

Computed, not measured: crystalline Ac2PrYSe4 at its relaxed geometry at the PBE level of DFT.

a = 7.4086 Å, b = 4.2359 Å, c = 7.6671 Å
α = 90.00°, β = 108.48°, γ = 90.00°
With the nearest neighbours (Å) after each atom.
Atoms (fractional coordinates):
Ac (0.0000, 0.0000, 0.0000)  6 Se 3.18-3.19
Ac (0.5000, 0.5000, 0.0000)  6 Se 3.12
Pr (0.0000, 0.5000, 0.5000)  6 Se 3.00-3.01
Y (0.5000, 0.0000, 0.5000)  6 Se 2.93-2.94
Se (0.2516, 0.0000, 0.7317)  1 Y 2.94, 2 Pr 3.00, 3 Ac 3.12-3.18
Se (0.2657, 0.5000, 0.2737)  2 Y 2.93, 1 Pr 3.01, 3 Ac 3.12-3.19
Se (0.7343, 0.5000, 0.7263)  2 Y 2.93, 1 Pr 3.01, 3 Ac 3.12-3.19
Se (0.7484, 0.0000, 0.2683)  1 Y 2.94, 2 Pr 3.00, 3 Ac 3.12-3.18

Computed properties:
The volume comes out at 228 Å³/cell. For the formation energy without anion corrections, the calculation gives -1.82 eV/atom. As for the space group: P2/m, No. 10.

Computed, not measured: crystalline InAg2SnSe4 at its relaxed geometry at the PBE level of DFT.

a = 8.9935 Å, b = 7.4941 Å, c = 7.0647 Å
α = 90.00°, β = 90.00°, γ = 90.00°
With the nearest neighbours (Å) after each atom.
Atoms (fractional coordinates):
In (0.0000, 0.1653, 0.0000)  4 Se 2.63-2.66
In (0.5000, 0.8347, 0.5000)  4 Se 2.63-2.66
Ag (0.2493, 0.6821, 0.0069)  4 Se 2.67-2.72
Ag (0.2507, 0.3179, 0.5069)  4 Se 2.67-2.72
Ag (0.7493, 0.3179, 0.5069)  4 Se 2.67-2.72
Ag (0.7507, 0.6821, 0.0069)  4 Se 2.67-2.72
Sn (0.0000, 0.8255, 0.4912)  4 Se 2.70-2.76
Sn (0.5000, 0.1745, 0.9912)  4 Se 2.70-2.76
Se (0.0000, 0.1696, 0.3772)  1 In 2.66, 2 Ag 2.68, 1 Sn 2.70
Se (0.0000, 0.8332, 0.8776)  1 In 2.63, 2 Ag 2.67, 1 Sn 2.73
Se (0.2384, 0.3389, 0.8840)  1 In 2.64, 2 Ag 2.67-2.72, 1 Sn 2.76
Se (0.2616, 0.6611, 0.3840)  1 In 2.64, 2 Ag 2.67-2.72, 1 Sn 2.76
Se (0.5000, 0.1668, 0.3776)  1 In 2.63, 2 Ag 2.67, 1 Sn 2.73
Se (0.5000, 0.8304, 0.8772)  1 In 2.66, 2 Ag 2.68, 1 Sn 2.70
Se (0.7384, 0.6611, 0.3840)  1 In 2.64, 2 Ag 2.67-2.72, 1 Sn 2.76
Se (0.7616, 0.3389, 0.8840)  1 In 2.64, 2 Ag 2.67-2.72, 1 Sn 2.76

Computed properties:
The volume comes out at 476 Å³/cell. For the formation energy without anion corrections, the calculation gives -0.31 eV/atom. As for the space group: Pmn2_1, No. 31.

Number 1: magnetic moment 11.7 μB/cell. Number 2: magnetic moment 4.7 μB/cell. Number 3: magnetic moment 0.0 μB/cell. Number 4: magnetic moment 8.3 μB/cell. Number 5: magnetic moment 0.1 μB/cell. Number 6: magnetic moment 0.0 μB/cell. Number 7: magnetic moment 0.0 μB/cell. Number 8: magnetic moment 0.0 μB/cell.